DFT (GGA-PBE) results for Ga8IrPt2 after structural relaxation.

Structure (POSCAR):
```
Ga8IrPt2
1.0
4.813 0.000 0.000
2.395 6.220 0.000
0.599 1.038 6.703
Ga Ir Pt
8 1 2
direct
0.005 0.083 0.168
0.209 0.653 0.424
0.296 0.417 0.935
0.351 0.133 0.637
0.649 0.867 0.363
0.704 0.583 0.065
0.791 0.347 0.576
0.995 0.917 0.832
0.500 0.000 0.000
0.490 0.700 0.705
0.510 0.300 0.295
```

Properties
As for the total energy: -4.472 eV/atom. For the energy relative to the elements, the calculation gives -4.0 eV per formula unit. The symmetry is P-1 (2). The energy above the most stable polymorph in this dataset is 0.30 eV per formula unit.

=====

DFT (GGA-PBE) results for GaIrPt2 after structural relaxation.

Structure (POSCAR):
```
GaIrPt2
1.0
3.792 0.000 0.000
0.000 3.792 0.000
0.000 0.000 18.392
Ga Ir Pt
4 4 8
direct
0.000 0.000 0.000
0.000 0.500 0.250
0.500 0.000 0.750
0.500 0.500 0.500
0.000 0.000 0.500
0.000 0.500 0.750
0.500 0.000 0.250
0.500 0.500 0.000
0.246 0.250 0.625
0.250 0.746 0.875
0.250 0.754 0.375
0.254 0.250 0.125
0.746 0.750 0.125
0.750 0.246 0.375
0.750 0.254 0.875
0.754 0.750 0.625
```

Properties
As for the total energy: -5.936 eV/atom. For the energy relative to the elements, the calculation gives 0.2 eV per formula unit. The symmetry is I-42d (122).

=====

DFT (GGA-PBE) results for Ga2IrPt after structural relaxation.

Structure (POSCAR):
```
Ga2IrPt
1.0
3.908 0.000 0.000
-1.954 3.384 0.000
0.000 0.000 15.140
Ga Ir Pt
6 3 3
direct
0.000 0.000 0.000
0.000 0.000 0.181
0.333 0.667 0.667
0.333 0.667 0.848
0.667 0.333 0.333
0.667 0.333 0.514
0.000 0.000 0.599
0.333 0.667 0.266
0.667 0.333 0.932
0.000 0.000 0.416
0.333 0.667 0.083
0.667 0.333 0.750
```

Properties
As for the total energy: -5.596 eV/atom. For the energy relative to the elements, the calculation gives -1.4 eV per formula unit. The symmetry is R3m (160).

=====

DFT (GGA-PBE) results for Ga2IrPt after structural relaxation.

Structure (POSCAR):
```
Ga2IrPt
1.0
4.103 0.000 0.000
0.000 4.103 0.000
0.000 0.000 3.515
Ga Ir Pt
2 1 1
direct
0.000 0.500 0.000
0.500 0.000 0.000
0.000 0.000 0.500
0.500 0.500 0.500
```

Properties
As for the total energy: -5.686 eV/atom. For the energy relative to the elements, the calculation gives -1.8 eV per formula unit. The symmetry is P4/mmm (123).

=====

DFT (GGA-PBE) results for Ga5Ir2Pt2 after structural relaxation.

Structure (POSCAR):
```
Ga5Ir2Pt2
1.0
-7.403 3.059 3.336
7.403 -3.059 3.336
7.403 3.059 -3.336
Ga Ir Pt
10 4 4
direct
0.156 0.076 0.232
0.156 0.424 0.580
0.211 0.096 0.615
0.481 0.596 0.385
0.527 0.010 0.197
0.527 0.830 0.017
0.813 0.330 0.803
0.813 0.510 0.983
0.844 0.576 0.420
0.844 0.924 0.768
0.305 0.424 0.066
0.305 0.739 0.381
0.358 0.239 0.934
0.358 0.924 0.619
0.009 0.736 0.773
0.691 0.191 0.500
0.691 0.691 0.000
0.963 0.236 0.227
```

Properties
As for the total energy: -5.376 eV/atom. For the energy relative to the elements, the calculation gives -3.4 eV per formula unit. The symmetry is Ima2 (46).

=====

DFT (GGA-PBE) results for Ga6Ir3Pt after structural relaxation.

Structure (POSCAR):
```
Ga6Ir3Pt
1.0
6.500 0.000 0.000
0.000 6.502 0.000
-6.430 0.000 7.974
Ga Ir Pt
12 6 2
direct
0.025 0.046 0.249
0.025 0.454 0.749
0.215 0.651 0.072
0.215 0.849 0.572
0.414 0.146 0.066
0.414 0.354 0.566
0.586 0.646 0.434
0.586 0.854 0.934
0.785 0.151 0.428
0.785 0.349 0.928
0.975 0.546 0.251
0.975 0.954 0.751
0.000 0.000 0.000
0.000 0.500 0.500
0.289 0.163 0.752
0.289 0.337 0.252
0.711 0.663 0.748
0.711 0.837 0.248
0.500 0.000 0.500
0.500 0.500 0.000
```

Properties
As for the total energy: -5.410 eV/atom. For the energy relative to the elements, the calculation gives -3.3 eV per formula unit. The symmetry is P2_1/c (14).